(1)
{
  "formula": "ScV2Ag",
  "functional": "PBE",
  "state": "optimized geometry",
  "e_above_lowest_polymorph_ev_per_fu": 0.00,
  "lattice_angstrom": [[0.000, 3.208, 3.208], [3.208, 0.000, 3.208], [3.208, 3.208, 0.000]],
  "species": ["Sc", "V", "V", "Ag"],
  "fractional_positions": [[0.000, 0.000, 0.000], [0.250, 0.250, 0.250], [0.750, 0.750, 0.750], [0.500, 0.500, 0.500]]
}



(2)
{
  "formula": "Cr2OsRu",
  "functional": "PBE",
  "state": "optimized geometry",
  "e_above_lowest_polymorph_ev_per_fu": 0.92,
  "lattice_angstrom": [[1.418, -2.199, 0.000], [1.418, 2.199, 0.000], [0.000, 0.000, 8.500]],
  "species": ["Cr", "Cr", "Os", "Ru"],
  "fractional_positions": [[0.000, 0.000, 0.248], [0.000, 0.000, 0.752], [0.500, 0.500, 0.500], [0.500, 0.500, 0.000]]
}



(3)
{
  "formula": "Mn4HgAu",
  "functional": "PBE",
  "state": "optimized geometry",
  "e_tot_ev_per_atom": -6.29,
  "lattice_angstrom": [[0.000, 3.526, 3.526], [3.526, 0.000, 3.526], [3.526, 3.526, 0.000]],
  "species": ["Mn", "Mn", "Mn", "Mn", "Hg", "Au"],
  "fractional_positions": [[0.125, 0.125, 0.125], [0.125, 0.125, 0.625], [0.125, 0.625, 0.125], [0.625, 0.125, 0.125], [0.500, 0.500, 0.500], [0.750, 0.750, 0.750]]
}



Sequential M_tot output: 0.59, 0.01, 9.82 μB/f.u.